A plane-wave DFT calculation with PBE was carried out for a relaxed In2Ga4Hg crystal.

CIF file:
```
data_In2Ga4Hg
_space_group_name_H-M_alt 'C 1 2/c 1'
_space_group_IT_number 15
_space_group_name_Hall '-C 2yc'
_cell_length_a 16.7024
_cell_length_b 6.1526
_cell_length_c 6.5565
_cell_angle_alpha 90.00
_cell_angle_beta 109.78
_cell_angle_gamma 90.00
loop_
_atom_site_label
_atom_site_fract_x
_atom_site_fract_y
_atom_site_fract_z
In1 0.1657 0.1222 0.0676
Ga1 0.0606 0.3782 0.6512
Ga2 0.1846 0.3934 0.4747
Hg1 0.0000 0.1042 0.2500
```

- N(E_F) (states/eV per atom) = 0.342
- DFT total energy (eV per atom) = -2.509

=====

A plane-wave DFT calculation with PBE was carried out for a relaxed In2GaHg2 crystal.

CIF file:
```
data_In2GaHg2
_space_group_name_H-M_alt 'I 4/m m m'
_space_group_IT_number 139
_space_group_name_Hall '-I 4 2'
_cell_length_a 5.7909
_cell_length_b 5.7909
_cell_length_c 8.7133
_cell_angle_alpha 90.00
_cell_angle_beta 90.00
_cell_angle_gamma 90.00
loop_
_atom_site_label
_atom_site_fract_x
_atom_site_fract_y
_atom_site_fract_z
In1 0.0000 0.0000 0.1659
Ga1 0.0000 0.0000 0.5000
Hg1 0.0000 0.5000 0.2500
```

- N(E_F) (states/eV per atom) = 0.532
- DFT total energy (eV per atom) = -1.656

=====

A plane-wave DFT calculation with PBE was carried out for a relaxed InGa2Hg crystal.

CIF file:
```
data_InGa2Hg
_space_group_name_H-M_alt 'P 1 21/m 1'
_space_group_IT_number 11
_space_group_name_Hall '-P 2yb'
_cell_length_a 5.3159
_cell_length_b 6.9762
_cell_length_c 5.5645
_cell_angle_alpha 90.00
_cell_angle_beta 114.59
_cell_angle_gamma 90.00
loop_
_atom_site_label
_atom_site_fract_x
_atom_site_fract_y
_atom_site_fract_z
In1 0.0502 0.2500 0.1200
Ga1 0.2493 0.5642 0.4953
Hg1 0.4417 0.2500 0.8752
```

- N(E_F) (states/eV per atom) = 0.269
- DFT total energy (eV per atom) = -2.220

=====

A plane-wave DFT calculation with PBE was carried out for a relaxed In8Ga3Hg4 crystal.

CIF file:
```
data_In8Ga3Hg4
_space_group_name_H-M_alt 'P -4 m 2'
_space_group_IT_number 115
_space_group_name_Hall 'P -4 -2'
_cell_length_a 4.5869
_cell_length_b 4.5869
_cell_length_c 18.1554
_cell_angle_alpha 90.00
_cell_angle_beta 90.00
_cell_angle_gamma 90.00
loop_
_atom_site_label
_atom_site_fract_x
_atom_site_fract_y
_atom_site_fract_z
In1 0.0000 0.0000 0.2400
In2 0.0000 0.5000 0.1057
In3 0.0000 0.5000 0.6201
In4 0.5000 0.5000 0.2430
Ga1 0.0000 0.0000 0.5000
Ga2 0.5000 0.5000 0.0000
Ga3 0.5000 0.5000 0.5000
Hg1 0.0000 0.5000 0.3798
Hg2 0.0000 0.5000 0.9006
```

- N(E_F) (states/eV per atom) = 0.392
- DFT total energy (eV per atom) = -2.110

=====

A plane-wave DFT calculation with PBE was carried out for a relaxed In6GaHg2 crystal.

CIF file:
```
data_In6GaHg2
_space_group_name_H-M_alt 'R 3'
_space_group_IT_number 146
_space_group_name_Hall 'R 3'
_cell_length_a 6.7341
_cell_length_b 6.7341
_cell_length_c 18.9405
_cell_angle_alpha 90.00
_cell_angle_beta 90.00
_cell_angle_gamma 120.00
loop_
_atom_site_label
_atom_site_fract_x
_atom_site_fract_y
_atom_site_fract_z
In1 0.0227 0.4639 0.0000
In2 0.0397 0.6053 0.1909
Ga1 0.0000 0.0000 0.7693
Hg1 0.0000 0.0000 0.1321
Hg2 0.0000 0.0000 0.9746
```

- N(E_F) (states/eV per atom) = 0.426
- DFT total energy (eV per atom) = -2.172

=====

A plane-wave DFT calculation with PBE was carried out for a relaxed In3GaHg3 crystal.

CIF file:
```
data_In3GaHg3
_space_group_name_H-M_alt 'P m -3 n'
_space_group_IT_number 223
_space_group_name_Hall '-P 4n 2 3'
_cell_length_a 8.0672
_cell_length_b 8.0672
_cell_length_c 8.0672
_cell_angle_alpha 90.00
_cell_angle_beta 90.00
_cell_angle_gamma 90.00
loop_
_atom_site_label
_atom_site_fract_x
_atom_site_fract_y
_atom_site_fract_z
In1 0.0000 0.2500 0.5000
Ga1 0.0000 0.0000 0.0000
Hg1 0.0000 0.5000 0.2500
```

- N(E_F) (states/eV per atom) = 0.827
- DFT total energy (eV per atom) = -1.376

=====

A plane-wave DFT calculation with PBE was carried out for a relaxed In2GaHg6 crystal.

CIF file:
```
data_In2GaHg6
_space_group_name_H-M_alt 'C 1 2/m 1'
_space_group_IT_number 12
_space_group_name_Hall '-C 2y'
_cell_length_a 15.3453
_cell_length_b 3.2983
_cell_length_c 11.9793
_cell_angle_alpha 90.00
_cell_angle_beta 127.81
_cell_angle_gamma 90.00
loop_
_atom_site_label
_atom_site_fract_x
_atom_site_fract_y
_atom_site_fract_z
In1 0.1440 0.0000 0.3076
Ga1 0.0000 0.5000 0.0000
Hg1 0.0889 0.5000 0.8364
Hg2 0.0999 0.5000 0.5071
Hg3 0.2449 0.5000 0.1728
```

- N(E_F) (states/eV per atom) = 0.392
- DFT total energy (eV per atom) = -1.108

=====

A plane-wave DFT calculation with PBE was carried out for a relaxed In14Ga2Hg9 crystal.

CIF file:
```
data_In14Ga2Hg9
_space_group_name_H-M_alt 'P -1'
_space_group_IT_number 2
_space_group_name_Hall '-P 1'
_cell_length_a 7.1348
_cell_length_b 7.5771
_cell_length_c 12.5509
_cell_angle_alpha 94.45
_cell_angle_beta 97.35
_cell_angle_gamma 91.64
loop_
_atom_site_label
_atom_site_fract_x
_atom_site_fract_y
_atom_site_fract_z
In1 0.0506 0.3693 0.3900
In2 0.0813 0.4763 0.8908
In3 0.1916 0.9008 0.9868
In4 0.2058 0.2210 0.1756
In5 0.2966 0.2873 0.6296
In6 0.3736 0.0453 0.3896
In7 0.4366 0.3018 0.9901
Ga1 0.4451 0.0285 0.8126
Hg1 0.0000 0.0000 0.5000
Hg2 0.0285 0.1017 0.7646
Hg3 0.3208 0.6356 0.2180
Hg4 0.3311 0.6650 0.4871
Hg5 0.3397 0.6649 0.7499
```

- N(E_F) (states/eV per atom) = 0.340
- DFT total energy (eV per atom) = -1.847

=====

A plane-wave DFT calculation with PBE was carried out for a relaxed In9Ga3Hg2 crystal.

CIF file:
```
data_In9Ga3Hg2
_space_group_name_H-M_alt 'C 1 2/c 1'
_space_group_IT_number 15
_space_group_name_Hall '-C 2yc'
_cell_length_a 13.9937
_cell_length_b 8.0471
_cell_length_c 13.4506
_cell_angle_alpha 90.00
_cell_angle_beta 108.28
_cell_angle_gamma 90.00
loop_
_atom_site_label
_atom_site_fract_x
_atom_site_fract_y
_atom_site_fract_z
In1 0.0000 0.0190 0.2500
In2 0.0394 0.3765 0.9149
In3 0.1214 0.0376 0.0802
In4 0.1714 0.2436 0.7623
In5 0.2474 0.4078 0.5830
Ga1 0.0620 0.2530 0.4344
Ga2 0.2500 0.2500 0.0000
Hg1 0.1236 0.3816 0.2460
```

- N(E_F) (states/eV per atom) = 0.452
- DFT total energy (eV per atom) = -2.416

=====

A plane-wave DFT calculation with PBE was carried out for a relaxed In8Ga2Hg crystal.

CIF file:
```
data_In8Ga2Hg
_space_group_name_H-M_alt 'C 1 2/m 1'
_space_group_IT_number 12
_space_group_name_Hall '-C 2y'
_cell_length_a 17.2190
_cell_length_b 4.4236
_cell_length_c 7.8852
_cell_angle_alpha 90.00
_cell_angle_beta 108.19
_cell_angle_gamma 90.00
loop_
_atom_site_label
_atom_site_fract_x
_atom_site_fract_y
_atom_site_fract_z
In1 0.0321 0.0000 0.2448
In2 0.0970 0.5000 0.9857
In3 0.1693 0.0000 0.7746
In4 0.1730 0.5000 0.4422
Ga1 0.2067 0.0000 0.1913
Hg1 0.0000 0.5000 0.5000
```

- N(E_F) (states/eV per atom) = 0.331
- DFT total energy (eV per atom) = -2.537

=====

A plane-wave DFT calculation with PBE was carried out for a relaxed In2Ga6Hg3 crystal.

CIF file:
```
data_In2Ga6Hg3
_space_group_name_H-M_alt 'P -6 2 m'
_space_group_IT_number 189
_space_group_name_Hall 'P -6 -2'
_cell_length_a 8.4991
_cell_length_b 8.4991
_cell_length_c 4.0898
_cell_angle_alpha 90.00
_cell_angle_beta 90.00
_cell_angle_gamma 120.00
loop_
_atom_site_label
_atom_site_fract_x
_atom_site_fract_y
_atom_site_fract_z
In1 0.3333 0.6667 0.0000
Ga1 0.0000 0.1892 0.0000
Ga2 0.0000 0.7466 0.5000
Hg1 0.0000 0.4301 0.5000
```

- N(E_F) (states/eV per atom) = 0.254
- DFT total energy (eV per atom) = -2.185

=====

A plane-wave DFT calculation with PBE was carried out for a relaxed InGa2Hg crystal.

CIF file:
```
data_InGa2Hg
_space_group_name_H-M_alt 'P 4/m m m'
_space_group_IT_number 123
_space_group_name_Hall '-P 4 2'
_cell_length_a 4.4875
_cell_length_b 4.4875
_cell_length_c 4.4928
_cell_angle_alpha 90.00
_cell_angle_beta 90.00
_cell_angle_gamma 90.00
loop_
_atom_site_label
_atom_site_fract_x
_atom_site_fract_y
_atom_site_fract_z
In1 0.0000 0.0000 0.0000
Ga1 0.0000 0.5000 0.5000
Hg1 0.5000 0.5000 0.0000
```

- N(E_F) (states/eV per atom) = 0.164
- DFT total energy (eV per atom) = -2.215

=====

A plane-wave DFT calculation with PBE was carried out for a relaxed In4Ga3Hg8 crystal.

CIF file:
```
data_In4Ga3Hg8
_space_group_name_H-M_alt 'P -4 m 2'
_space_group_IT_number 115
_space_group_name_Hall 'P -4 -2'
_cell_length_a 4.5897
_cell_length_b 4.5897
_cell_length_c 18.1203
_cell_angle_alpha 90.00
_cell_angle_beta 90.00
_cell_angle_gamma 90.00
loop_
_atom_site_label
_atom_site_fract_x
_atom_site_fract_y
_atom_site_fract_z
In1 0.0000 0.5000 0.1138
In2 0.0000 0.5000 0.6227
Ga1 0.0000 0.0000 0.0000
Ga2 0.0000 0.0000 0.5000
Ga3 0.5000 0.5000 0.5000
Hg1 0.0000 0.0000 0.2480
Hg2 0.0000 0.5000 0.3855
Hg3 0.0000 0.5000 0.9057
Hg4 0.5000 0.5000 0.2385
```

- N(E_F) (states/eV per atom) = 0.356
- DFT total energy (eV per atom) = -1.449

=====

A plane-wave DFT calculation with PBE was carried out for a relaxed In4Ga2Hg crystal.

CIF file:
```
data_In4Ga2Hg
_space_group_name_H-M_alt 'P 1'
_space_group_IT_number 1
_space_group_name_Hall 'P 1'
_cell_length_a 6.7593
_cell_length_b 6.9648
_cell_length_c 8.7976
_cell_angle_alpha 108.73
_cell_angle_beta 107.50
_cell_angle_gamma 101.54
loop_
_atom_site_label
_atom_site_fract_x
_atom_site_fract_y
_atom_site_fract_z
In1 0.0000 0.0000 0.0000
In2 0.0191 0.9300 0.4135
In3 0.1944 0.6052 0.8109
In4 0.4776 0.8832 0.5802
In5 0.5074 0.5150 0.2237
In6 0.5917 0.4483 0.7395
In7 0.7063 0.2292 0.3970
In8 0.9295 0.4647 0.0911
Ga1 0.3067 0.8600 0.2089
Ga2 0.6425 0.8295 0.0756
Ga3 0.8497 0.7140 0.6034
Ga4 0.9414 0.1800 0.7382
Hg1 0.1918 0.3869 0.4139
Hg2 0.4179 0.1204 0.9046
```

- N(E_F) (states/eV per atom) = 0.311
- DFT total energy (eV per atom) = -2.426

=====

A plane-wave DFT calculation with PBE was carried out for a relaxed In5GaHg4 crystal.

CIF file:
```
data_In5GaHg4
_space_group_name_H-M_alt 'P 4/m m m'
_space_group_IT_number 123
_space_group_name_Hall '-P 4 2'
_cell_length_a 3.8281
_cell_length_b 3.8281
_cell_length_c 17.7098
_cell_angle_alpha 90.00
_cell_angle_beta 90.00
_cell_angle_gamma 90.00
loop_
_atom_site_label
_atom_site_fract_x
_atom_site_fract_y
_atom_site_fract_z
In1 0.0000 0.0000 0.0000
In2 0.0000 0.0000 0.2025
In3 0.0000 0.0000 0.4035
Ga1 0.5000 0.5000 0.5000
Hg1 0.5000 0.5000 0.1006
Hg2 0.5000 0.5000 0.3021
```

- N(E_F) (states/eV per atom) = 0.564
- DFT total energy (eV per atom) = -1.767

=====

A plane-wave DFT calculation with PBE was carried out for a relaxed InGaHg3 crystal.

CIF file:
```
data_InGaHg3
_space_group_name_H-M_alt 'P m -3 m'
_space_group_IT_number 221
_space_group_name_Hall '-P 4 2 3'
_cell_length_a 5.3095
_cell_length_b 5.3095
_cell_length_c 5.3095
_cell_angle_alpha 90.00
_cell_angle_beta 90.00
_cell_angle_gamma 90.00
loop_
_atom_site_label
_atom_site_fract_x
_atom_site_fract_y
_atom_site_fract_z
In1 0.0000 0.0000 0.0000
Ga1 0.5000 0.5000 0.5000
Hg1 0.0000 0.5000 0.5000
```

- N(E_F) (states/eV per atom) = 0.590
- DFT total energy (eV per atom) = -1.194

=====

A plane-wave DFT calculation with PBE was carried out for a relaxed InGa2Hg crystal.

CIF file:
```
data_InGa2Hg
_space_group_name_H-M_alt 'P 4/m m m'
_space_group_IT_number 123
_space_group_name_Hall '-P 4 2'
_cell_length_a 3.5688
_cell_length_b 3.5688
_cell_length_c 7.1592
_cell_angle_alpha 90.00
_cell_angle_beta 90.00
_cell_angle_gamma 90.00
loop_
_atom_site_label
_atom_site_fract_x
_atom_site_fract_y
_atom_site_fract_z
In1 0.0000 0.0000 0.0000
Ga1 0.5000 0.5000 0.2596
Hg1 0.0000 0.0000 0.5000
```

- N(E_F) (states/eV per atom) = 0.342
- DFT total energy (eV per atom) = -2.216

=====

A plane-wave DFT calculation with PBE was carried out for a relaxed In4Ga4Hg crystal.

CIF file:
```
data_In4Ga4Hg
_space_group_name_H-M_alt 'P 42/n m c'
_space_group_IT_number 137
_cell_length_a 6.7707
_cell_length_b 6.7707
_cell_length_c 9.6875
_cell_angle_alpha 90.00
_cell_angle_beta 90.00
_cell_angle_gamma 90.00
loop_
_space_group_symop_operation_xyz
'x,y,z'
'-x,-y,-z'
'-y+1/2,x,z+1/2'
'y+1/2,-x,-z+1/2'
'-x+1/2,-y+1/2,z'
'x+1/2,y+1/2,-z'
'y,-x+1/2,z+1/2'
'-y,x+1/2,-z+1/2'
'x+1/2,-y,-z'
'-x+1/2,y,z'
'-y,-x,-z+1/2'
'y,x,z+1/2'
'-x,y+1/2,-z'
'x,-y+1/2,z'
'y+1/2,x+1/2,-z+1/2'
'-y+1/2,-x+1/2,z+1/2'
loop_
_atom_site_label
_atom_site_fract_x
_atom_site_fract_y
_atom_site_fract_z
In1 0.0118 0.7500 0.0213
Ga1 0.0475 0.2500 0.6864
Hg1 0.2500 0.7500 0.7500
```

- N(E_F) (states/eV per atom) = 0.481
- DFT total energy (eV per atom) = -2.519

=====

A plane-wave DFT calculation with PBE was carried out for a relaxed In2GaHg8 crystal.

CIF file:
```
data_In2GaHg8
_space_group_name_H-M_alt 'P 4/m m m'
_space_group_IT_number 123
_space_group_name_Hall '-P 4 2'
_cell_length_a 5.1373
_cell_length_b 5.1373
_cell_length_c 11.1449
_cell_angle_alpha 90.00
_cell_angle_beta 90.00
_cell_angle_gamma 90.00
loop_
_atom_site_label
_atom_site_fract_x
_atom_site_fract_y
_atom_site_fract_z
In1 0.0000 0.0000 0.1797
Ga1 0.0000 0.0000 0.5000
Hg1 0.0000 0.5000 0.0000
Hg2 0.0000 0.5000 0.3598
Hg3 0.5000 0.5000 0.1853
```

- N(E_F) (states/eV per atom) = 0.269
- DFT total energy (eV per atom) = -0.975

=====

A plane-wave DFT calculation with PBE was carried out for a relaxed In5Ga2Hg5 crystal.

CIF file:
```
data_In5Ga2Hg5
_space_group_name_H-M_alt 'P -1'
_space_group_IT_number 2
_space_group_name_Hall '-P 1'
_cell_length_a 3.7479
_cell_length_b 9.1547
_cell_length_c 9.7325
_cell_angle_alpha 105.88
_cell_angle_beta 100.89
_cell_angle_gamma 96.26
loop_
_atom_site_label
_atom_site_fract_x
_atom_site_fract_y
_atom_site_fract_z
In1 0.0000 0.0000 0.0000
In2 0.3366 0.3314 0.2388
In3 0.4014 0.2172 0.5584
Ga1 0.3892 0.7482 0.0431
Hg1 0.0000 0.5000 0.5000
Hg2 0.0929 0.4122 0.8298
Hg3 0.2776 0.9630 0.7049
```

- N(E_F) (states/eV per atom) = 0.380
- DFT total energy (eV per atom) = -1.741